# 1
A plane-wave DFT calculation with PBE was carried out for a relaxed LiScUSe3 crystal.

Crystal system: monoclinic
Formation energy (no corrections) in eV/atom: -1.2724

```
12
Lattice="3.8485 0.0000 0.0000 0.0000 8.1417 -0.0334 0.0000 -2.1823 8.4078" Properties=species:S:1:pos:R:3 pbc="T T T"
Li 0.9621 -0.5424 4.9085
Li 2.8864 6.5017 3.4659
Sc 0.9621 5.0842 1.2872
Sc 2.8864 0.8752 7.0872
U 0.9621 1.0355 1.8503
U 2.8864 4.9239 6.5241
Se 2.8864 7.0334 1.0777
Se 0.9621 -1.0740 7.2967
Se 0.9621 5.1263 4.1808
Se 2.8864 0.8331 4.1936
Se 2.8864 3.1969 1.4215
Se 0.9621 2.7625 6.9529
```

# 2
A plane-wave DFT calculation with PBE was carried out for a relaxed LiY2Sc3Se6 crystal.

Crystal system: monoclinic
Formation energy (no corrections) in eV/atom: -1.6712

```
12
Lattice="6.8306 -0.0040 -0.0034 -3.4172 5.9144 -0.0034 -1.1418 -1.9770 6.4776" Properties=species:S:1:pos:R:3 pbc="T T T"
Li 0.0000 0.0000 0.0000
Y 0.0106 3.9348 -0.0034
Y 3.4029 1.9756 -0.0034
Sc -2.2725 3.9351 3.2354
Sc 4.5442 -0.0017 3.2354
Sc 1.1359 1.9667 3.2354
Se 3.3779 2.0259 4.7894
Se 2.3165 4.0110 1.6594
Se -1.1062 1.9076 1.6814
Se 0.0666 3.9383 4.7894
Se -0.0448 -0.0776 4.8115
Se 2.2051 -0.0049 1.6814
```

# 3
A plane-wave DFT calculation with PBE was carried out for a relaxed Li2Y3ScSe6 crystal.

Crystal system: monoclinic
Formation energy (no corrections) in eV/atom: -1.7083

```
12
Lattice="6.9478 0.0003 0.0007 -3.4719 6.0181 0.0007 -1.1588 -2.0064 6.4664" Properties=species:S:1:pos:R:3 pbc="T T T"
Li 0.0006 4.0126 0.0007
Li 3.4753 2.0058 0.0007
Y -2.2994 4.0031 3.2340
Y 4.6165 0.0089 3.2340
Y 1.1586 2.0060 3.2340
Sc 0.0000 0.0000 0.0000
Se 3.4710 2.0118 4.9526
Se 2.3216 4.0198 1.5356
Se -1.1539 2.0002 1.5153
Se 0.0079 4.0119 4.9526
Se -0.0045 -0.0078 4.9323
Se 2.3092 0.0002 1.5153
```

# 4
A plane-wave DFT calculation with PBE was carried out for a relaxed LiY3Sc3Se8 crystal.

Crystal system: trigonal
Formation energy (no corrections) in eV/atom: -1.7110

```
15
Lattice="7.8925 0.0000 0.0000 -3.9463 6.8352 -0.0238 0.0000 -4.5340 6.4983" Properties=species:S:1:pos:R:3 pbc="T T T"
Li 0.0000 -2.2670 3.2491
Y 0.0000 0.0000 0.0000
Y -1.9731 3.4176 -0.0119
Y 1.9731 3.4176 -0.0119
Sc 3.9463 -2.2670 3.2491
Sc 1.9731 1.1506 3.2372
Sc -1.9731 1.1506 3.2373
Se 0.0000 2.2845 1.7134
Se 3.9463 0.0167 4.7611
Se 3.9463 2.2486 1.6891
Se 0.0000 0.0526 4.7854
Se 5.8881 -1.1151 1.7006
Se -1.9418 3.4163 4.7739
Se 2.0045 -1.1151 1.7006
Se 1.9418 3.4163 4.7739
```

# 5
A plane-wave DFT calculation with PBE was carried out for a relaxed Li2YSc3Se6 crystal.

Crystal system: monoclinic
Formation energy (no corrections) in eV/atom: -1.6497

```
12
Lattice="-4.1868 -0.9423 5.1931 -1.8037 -1.9757 -6.1830 4.6588 -4.8447 1.4161" Properties=species:S:1:pos:R:3 pbc="T T T"
Li -2.5949 -1.6326 -2.4063
Li -3.3957 -1.2853 1.4165
Y 0.0000 0.0000 0.0000
Sc 0.1324 -4.2275 -3.5977
Sc -1.4642 -3.5352 4.0239
Sc -0.6659 -3.8813 0.2131
Se -1.3988 -5.6004 2.2554
Se -3.2666 -3.4099 -0.3745
Se 0.0671 -2.1623 -1.8292
Se -0.5866 -5.9526 -1.6218
Se 1.9349 -4.3528 0.8008
Se -0.7451 -1.8101 2.0480
```

# 6
A plane-wave DFT calculation with PBE was carried out for a relaxed LiY3Sc2Se6 crystal.

Crystal system: monoclinic
Formation energy (no corrections) in eV/atom: -1.6992

```
12
Lattice="3.9926 0.0000 0.0000 0.0000 7.9525 0.3100 -1.9963 -2.2635 8.3762" Properties=species:S:1:pos:R:3 pbc="T T T"
Li 1.9963 0.0000 0.0000
Y 1.9963 3.9762 0.1550
Y 1.9963 -0.1644 5.6741
Y 0.0000 5.8535 3.0121
Sc 1.9963 3.7200 5.7658
Sc 0.0000 1.9690 2.9204
Se 0.0000 5.6899 5.9127
Se 1.9963 3.8241 3.0167
Se 1.9963 -0.0009 2.7736
Se 0.0000 1.8894 0.1577
Se 1.9963 3.7996 8.5285
Se 0.0000 1.8649 5.6695
```

# 7
A plane-wave DFT calculation with PBE was carried out for a relaxed Li2Zr3ScSe6 crystal.

Crystal system: monoclinic
Formation energy (no corrections) in eV/atom: -1.3585

```
12
Lattice="6.5219 0.0096 0.0135 -3.2510 5.6538 0.0135 -1.0773 -1.8654 6.5926" Properties=species:S:1:pos:R:3 pbc="T T T"
Li 0.0688 3.7365 0.0135
Li 3.2020 1.9269 0.0135
Zr -2.0056 3.6908 3.3098
Zr 4.1991 0.1073 3.3098
Zr 1.0968 1.8990 3.3098
Sc 0.0000 0.0000 0.0000
Se 3.2761 1.9016 5.0651
Se 2.1945 3.7998 1.7071
Se -1.0826 1.8965 1.5545
Se 0.0098 3.7879 5.0651
Se -0.0010 -0.0018 4.9125
Se 2.1837 0.0101 1.5545
```

# 8
A plane-wave DFT calculation with PBE was carried out for a relaxed Li3ZrSc3Se8 crystal.

Crystal system: trigonal
Formation energy (no corrections) in eV/atom: -1.5392

```
15
Lattice="-7.5532 -1.1344 -1.0602 4.2630 -5.4124 3.4630 -1.5367 6.7029 3.7758" Properties=species:S:1:pos:R:3 pbc="T T T"
Li 0.0000 0.0000 0.0000
Li 2.1315 -2.7062 1.7315
Li -1.6451 -3.2734 1.2014
Zr -0.7683 3.3514 1.8879
Sc -4.5449 2.7842 1.3578
Sc -2.4134 0.0780 3.0893
Sc 1.3631 0.6452 3.6194
Se -0.1499 -1.2935 2.4517
Se -4.6770 1.4496 3.7270
Se -3.9277 -1.8580 1.9281
Se -0.8991 2.0140 4.2506
Se -6.0597 0.8488 0.1963
Se 1.2329 -0.6927 5.9823
Se -2.2823 1.4161 0.7265
Se -2.5446 -1.2600 5.4521
```

# 9
A plane-wave DFT calculation with PBE was carried out for a relaxed Li2ZrSc2Se6 crystal.

Crystal system: monoclinic
Formation energy (no corrections) in eV/atom: -1.5161

```
11
Lattice="-2.0286 -5.7466 -2.6901 4.0015 4.0480 -3.4609 4.5332 -2.4344 4.5292" Properties=species:S:1:pos:R:3 pbc="T T T"
Li -1.0290 -4.1230 -2.8179
Li 3.0019 2.4243 -3.3331
Zr 2.2666 -1.2172 2.2646
Sc 4.2584 -0.4335 -0.9394
Sc 2.2476 -3.6995 -0.6824
Se 4.8359 -3.0754 -1.2472
Se 4.8487 -0.5894 1.7183
Se 1.6701 -1.0577 -0.3745
Se 2.8393 -3.8532 1.9752
Se 1.6573 -3.5437 -3.3400
Se 3.6667 -0.2799 -3.5969
```

# 10
A plane-wave DFT calculation with PBE was carried out for a relaxed LiScSi2 crystal.

Crystal system: trigonal
E above lowest polymorph in meV per atom: 580.5
Formation energy (no corrections) in eV/atom: 0.1001

```
4
Lattice="9.0868 -0.0647 -0.0380 8.5994 2.9365 -0.0380 8.5994 1.3963 2.5836" Properties=species:S:1:pos:R:3 pbc="T T T"
Li 13.4696 2.1871 1.2849
Sc 19.4691 3.1613 1.8572
Si 26.0384 4.2279 2.4839
Si 6.7370 1.0939 0.6427
```

# 11
A plane-wave DFT calculation with PBE was carried out for a relaxed LiScSi crystal.

Crystal system: orthorhombic
Formation energy (no corrections) in eV/atom: -0.2502

```
3
Lattice="-0.0422 -1.2185 4.6517 -1.6060 -4.4417 0.9041 3.3621 2.4435 -2.4188" Properties=species:S:1:pos:R:3 pbc="T T T"
Li -0.0007 -0.0025 0.0025
Sc -0.5369 -1.8438 1.8099
Si -1.1106 -3.8138 3.7435
```

# 12
A plane-wave DFT calculation with PBE was carried out for a relaxed Li4ScSi crystal.

Crystal system: cubic
Formation energy (no corrections) in eV/atom: 0.0423

```
6
Lattice="0.4948 -3.9309 3.2373 -3.8891 -1.2989 3.0603 -2.5733 -4.3423 -0.8364" Properties=species:S:1:pos:R:3 pbc="T T T"
Li -1.9793 -5.5637 3.6772
Li -3.5306 -5.7717 1.6174
Li -4.1959 -4.2328 3.5876
Li -2.2294 -3.5761 2.0403
Sc -4.4757 -7.1791 4.0959
Si 0.0000 0.0000 0.0000
```

# 13
A plane-wave DFT calculation with PBE was carried out for a relaxed LiSc2Si crystal.

Crystal system: orthorhombic
Formation energy (no corrections) in eV/atom: -0.1697

```
4
Lattice="3.1978 0.0000 0.0000 0.0000 4.1258 0.0000 0.0000 0.0000 5.8844" Properties=species:S:1:pos:R:3 pbc="T T T"
Li 1.5989 2.0629 4.3476
Sc 0.0000 0.0000 5.8075
Sc 1.5989 2.0629 1.6961
Si 0.0000 0.0000 2.8597
```

# 14
A plane-wave DFT calculation with PBE was carried out for a relaxed LiScSi crystal.

Crystal system: monoclinic
Formation energy (no corrections) in eV/atom: -0.4321

```
6
Lattice="-5.2118 2.0288 -5.9452 0.4423 -0.0275 -5.2532 -0.2000 -3.6705 3.7788" Properties=species:S:1:pos:R:3 pbc="T T T"
Sc -3.1661 0.4581 -7.0641
Sc -1.8033 -2.1273 -0.3554
Si -1.6076 -1.0918 -2.9204
Si -3.3619 -0.5774 -4.4991
Li -0.5662 -3.1274 2.3563
Li -4.4033 1.4581 -9.7758
```

# 15
A plane-wave DFT calculation with PBE was carried out for a relaxed LiScSi crystal.

Crystal system: triclinic
Formation energy (no corrections) in eV/atom: -0.4183

```
6
Lattice="-0.2989 4.4242 0.5629 -0.3347 -0.8929 5.2519 4.4541 -2.0872 1.3460" Properties=species:S:1:pos:R:3 pbc="T T T"
Sc 2.4456 2.1380 2.3913
Sc 1.3749 -0.6939 4.7695
Si 2.9041 1.6118 5.0628
Si 0.9163 -0.1677 2.0981
Li -0.2673 1.4797 4.1207
Li 4.0877 -0.0357 3.0401
```

# 16
A plane-wave DFT calculation with PBE was carried out for a relaxed LiScSi crystal.

Crystal system: hexagonal
Formation energy (no corrections) in eV/atom: -0.5420

```
12
Lattice="-1.3309 0.3048 7.2196 2.0905 -6.0617 0.6413 3.9421 1.4300 0.6663" Properties=species:S:1:pos:R:3 pbc="T T T"
Sc 0.0000 0.0000 0.0000
Sc 2.3508 -2.1635 4.2636
Sc 1.3056 0.8674 3.9430
Sc 1.0452 -3.0309 0.3206
Si 0.0795 -1.4137 2.5667
Si 3.3175 -3.7804 2.0177
Si 4.6221 -2.9133 5.9605
Si 1.3841 -0.5467 6.5095
Li 3.5769 0.1175 5.6393
Li 2.4292 -3.5775 6.8306
Li 1.1247 -4.4445 2.8878
Li 2.2724 -0.7495 1.6966
```

# 17
A plane-wave DFT calculation with PBE was carried out for a relaxed LiSc2Si crystal.

Crystal system: cubic
Formation energy (no corrections) in eV/atom: -0.0121

```
4
Lattice="4.7121 0.0000 0.0000 2.3560 4.0808 0.0000 2.3560 1.3603 3.8474" Properties=species:S:1:pos:R:3 pbc="T T T"
Li 4.7121 2.7205 1.9237
Sc 0.0000 0.0000 0.0000
Sc 2.3560 1.3603 0.9618
Si 7.0681 4.0808 2.8855
```

# 18
A plane-wave DFT calculation with PBE was carried out for a relaxed LiScSi crystal.

Crystal system: hexagonal
Formation energy (no corrections) in eV/atom: 1.2841

```
6
Lattice="4.5157 -2.6071 0.0000 0.0000 5.2143 0.0000 0.0000 0.0000 10.1248" Properties=species:S:1:pos:R:3 pbc="T T T"
Sc 0.0000 0.0000 2.5312
Sc 0.0000 0.0000 7.5936
Si 0.0000 0.0000 0.0000
Si 0.0000 0.0000 5.0624
Li 1.5052 2.6071 2.5312
Li 3.0105 0.0000 7.5936
```

# 19
A plane-wave DFT calculation with PBE was carried out for a relaxed LiSc2Si crystal.

Crystal system: trigonal
Formation energy (no corrections) in eV/atom: -0.0974

```
4
Lattice="9.3205 0.0316 0.0187 8.7148 3.3053 0.0187 8.7148 1.6124 2.8854" Properties=species:S:1:pos:R:3 pbc="T T T"
Li 20.0625 3.7120 2.1920
Sc 26.3820 4.8812 2.8825
Sc 13.7430 2.5427 1.5016
Si 6.6875 1.2373 0.7307
```

# 20
A plane-wave DFT calculation with PBE was carried out for a relaxed LiScSi crystal.

Crystal system: tetragonal
Formation energy (no corrections) in eV/atom: -0.3020

```
6
Lattice="-3.9278 2.3398 0.5614 -1.4100 -1.3672 -4.1666 -2.6425 -5.0478 2.5506" Properties=species:S:1:pos:R:3 pbc="T T T"
Sc -1.3212 -2.5239 1.2753
Sc -3.9901 -2.0375 -0.5273
Si -1.4029 -2.0167 -1.4097
Si -3.9085 -2.5447 2.1577
Li 0.0000 0.0000 0.0000
Li -2.6689 0.4863 -1.8026
```